Version a
# SmNbGa2, relaxed, DFT PBE
data_SmNbGa2
_chemical_formula_sum 'Sm1 Nb1 Ga2'
_symmetry_space_group_name_H-M 'P 4/m m m'
_symmetry_Int_Tables_number 123
_symmetry_space_group_name_Hall '-P 4 2'
_cell_length_a 3.567
_cell_length_b 3.567
_cell_length_c 6.335
_cell_angle_alpha 90.00
_cell_angle_beta 90.00
_cell_angle_gamma 90.00
loop_
_atom_site_label
_atom_site_fract_x
_atom_site_fract_y
_atom_site_fract_z
Sm1 0.000 0.000 0.000
Nb1 0.000 0.000 0.500
Ga1 0.500 0.500 0.298
# magnetization: 0.0 μB/f.u.



Version b
# SmNbGa2, relaxed, DFT PBE
data_SmNbGa2
_chemical_formula_sum 'Sm3 Nb3 Ga6'
_symmetry_space_group_name_H-M 'R -3 m'
_symmetry_Int_Tables_number 166
_symmetry_space_group_name_Hall '-R 3 2"'
_cell_length_a 3.1475
_cell_length_b 3.1475
_cell_length_c 28.8519
_cell_angle_alpha 90.00
_cell_angle_beta 90.00
_cell_angle_gamma 120.00
loop_
_atom_site_label
_atom_site_fract_x
_atom_site_fract_y
_atom_site_fract_z
Sm1 0.0000 0.0000 0.0000
Nb1 0.0000 0.0000 0.5000
Ga1 0.0000 0.0000 0.2425
# magnetization: 0.0 μB/f.u.



Q: What are the energies relative to the best structure? A: version a 0.000; version b 0.258, in eV/atom.



Version a
# Nb3GaSn, relaxed, DFT PBE
data_Nb3GaSn
_chemical_formula_sum 'Nb3 Ga1 Sn1'
_symmetry_space_group_name_H-M 'P m -3 m'
_symmetry_Int_Tables_number 221
_symmetry_space_group_name_Hall '-P 4 2 3'
_cell_length_a 4.768
_cell_length_b 4.768
_cell_length_c 4.768
_cell_angle_alpha 90.00
_cell_angle_beta 90.00
_cell_angle_gamma 90.00
loop_
_atom_site_label
_atom_site_fract_x
_atom_site_fract_y
_atom_site_fract_z
Nb1 0.000 0.000 0.500
Ga1 0.000 0.000 0.000
Sn1 0.500 0.500 0.500
# magnetization: 0.0 μB/f.u.



Version b
# Nb3GaSn, relaxed, DFT PBE
data_Nb3GaSn
_chemical_formula_sum 'Nb24 Ga8 Sn8'
_symmetry_space_group_name_H-M 'C 1 2/c 1'
_symmetry_Int_Tables_number 15
_cell_length_a 9.919
_cell_length_b 12.477
_cell_length_c 6.561
_cell_angle_alpha 90.00
_cell_angle_beta 112.92
_cell_angle_gamma 90.00
loop_
_symmetry_equiv_pos_as_xyz
'x,y,z'
'-x,-y,-z'
'-x,y,-z+1/2'
'x,-y,z+1/2'
'x+1/2,y+1/2,z'
'-x+1/2,-y+1/2,-z'
'-x+1/2,y+1/2,-z+1/2'
'x+1/2,-y+1/2,z+1/2'
loop_
_atom_site_label
_atom_site_fract_x
_atom_site_fract_y
_atom_site_fract_z
Nb1 0.128 0.198 0.009
Nb2 0.159 0.466 0.031
Nb3 0.179 0.153 0.541
Ga1 0.110 0.341 0.686
Sn1 0.000 0.009 0.750
Sn2 0.000 0.340 0.250
# magnetization: 0.0 μB/f.u.



Version c
# Nb3GaSn, relaxed, DFT PBE
data_Nb3GaSn
_chemical_formula_sum 'Nb3 Ga1 Sn1'
_symmetry_space_group_name_H-M 'P m -3 m'
_symmetry_Int_Tables_number 221
_symmetry_space_group_name_Hall '-P 4 2 3'
_cell_length_a 5.040
_cell_length_b 5.040
_cell_length_c 5.040
_cell_angle_alpha 90.00
_cell_angle_beta 90.00
_cell_angle_gamma 90.00
loop_
_atom_site_label
_atom_site_fract_x
_atom_site_fract_y
_atom_site_fract_z
Nb1 0.000 0.000 0.500
Ga1 0.500 0.500 0.500
Sn1 0.000 0.000 0.000
# magnetization: 1.5 μB/f.u.



Q: What are the energies relative to the best structure? A: version a 0.908; version b 0.000; version c 1.722, in eV/atom.



Version a
# NbGaSn2, relaxed, DFT PBE
data_NbGaSn2
_chemical_formula_sum 'Nb3 Ga3 Sn6'
_symmetry_space_group_name_H-M 'R -3 m'
_symmetry_Int_Tables_number 166
_symmetry_space_group_name_Hall '-R 3 2"'
_cell_length_a 3.0862
_cell_length_b 3.0862
_cell_length_c 33.9594
_cell_angle_alpha 90.00
_cell_angle_beta 90.00
_cell_angle_gamma 120.00
loop_
_atom_site_label
_atom_site_fract_x
_atom_site_fract_y
_atom_site_fract_z
Nb1 0.0000 0.0000 0.0000
Ga1 0.0000 0.0000 0.5000
Sn1 0.0000 0.0000 0.0852
# magnetization: 0.0 μB/f.u.



Version b
# NbGaSn2, relaxed, DFT PBE
data_NbGaSn2
_chemical_formula_sum 'Nb4 Ga4 Sn8'
_symmetry_space_group_name_H-M 'I -4 2 d'
_symmetry_Int_Tables_number 122
_symmetry_space_group_name_Hall 'I -4 2bw'
_cell_length_a 7.915
_cell_length_b 7.915
_cell_length_c 5.819
_cell_angle_alpha 90.00
_cell_angle_beta 90.00
_cell_angle_gamma 90.00
loop_
_atom_site_label
_atom_site_fract_x
_atom_site_fract_y
_atom_site_fract_z
Nb1 0.000 0.000 0.000
Ga1 0.000 0.000 0.500
Sn1 0.248 0.750 0.125
# magnetization: 0.0 μB/f.u.



Q: What are the energies relative to the best structure? A: version a 0.044; version b 0.000, in eV/atom.



Version a
# SrNbGa3, relaxed, DFT PBE
data_SrNbGa3
_chemical_formula_sum 'Sr1 Nb1 Ga3'
_symmetry_space_group_name_H-M 'P m -3 m'
_symmetry_Int_Tables_number 221
_symmetry_space_group_name_Hall '-P 4 2 3'
_cell_length_a 5.307
_cell_length_b 5.307
_cell_length_c 5.307
_cell_angle_alpha 90.00
_cell_angle_beta 90.00
_cell_angle_gamma 90.00
loop_
_atom_site_label
_atom_site_fract_x
_atom_site_fract_y
_atom_site_fract_z
Sr1 0.000 0.000 0.000
Nb1 0.500 0.500 0.500
Ga1 0.000 0.000 0.500
# magnetization: 0.0 μB/f.u.



Version b
# SrNbGa3, relaxed, DFT PBE
data_SrNbGa3
_chemical_formula_sum 'Sr1 Nb1 Ga3'
_symmetry_space_group_name_H-M 'P m -3 m'
_symmetry_Int_Tables_number 221
_symmetry_space_group_name_Hall '-P 4 2 3'
_cell_length_a 5.067
_cell_length_b 5.067
_cell_length_c 5.067
_cell_angle_alpha 90.00
_cell_angle_beta 90.00
_cell_angle_gamma 90.00
loop_
_atom_site_label
_atom_site_fract_x
_atom_site_fract_y
_atom_site_fract_z
Sr1 0.000 0.000 0.000
Nb1 0.500 0.500 0.500
Ga1 0.000 0.500 0.500
# magnetization: 0.0 μB/f.u.



Q: What are the energies relative to the best structure? A: version a 1.832; version b 0.000, in eV/atom.



Version a
# Ta3NbGa, relaxed, DFT PBE
data_Ta3NbGa
_chemical_formula_sum 'Ta3 Nb1 Ga1'
_symmetry_space_group_name_H-M 'P m -3 m'
_symmetry_Int_Tables_number 221
_symmetry_space_group_name_Hall '-P 4 2 3'
_cell_length_a 4.710
_cell_length_b 4.710
_cell_length_c 4.710
_cell_angle_alpha 90.00
_cell_angle_beta 90.00
_cell_angle_gamma 90.00
loop_
_atom_site_label
_atom_site_fract_x
_atom_site_fract_y
_atom_site_fract_z
Ta1 0.000 0.000 0.500
Nb1 0.500 0.500 0.500
Ga1 0.000 0.000 0.000
# magnetization: 0.0 μB/f.u.



Version b
# Ta3NbGa, relaxed, DFT PBE
data_Ta3NbGa
_chemical_formula_sum 'Ta3 Nb1 Ga1'
_symmetry_space_group_name_H-M 'P m -3 m'
_symmetry_Int_Tables_number 221
_symmetry_space_group_name_Hall '-P 4 2 3'
_cell_length_a 4.878
_cell_length_b 4.878
_cell_length_c 4.878
_cell_angle_alpha 90.00
_cell_angle_beta 90.00
_cell_angle_gamma 90.00
loop_
_atom_site_label
_atom_site_fract_x
_atom_site_fract_y
_atom_site_fract_z
Ta1 0.000 0.000 0.500
Nb1 0.000 0.000 0.000
Ga1 0.500 0.500 0.500
# magnetization: 0.0 μB/f.u.



Q: What are the energies relative to the best structure? A: version a 0.000; version b 0.453, in eV/atom.



Version a
# TaNb6Ga, relaxed, DFT PBE
data_TaNb6Ga
_chemical_formula_sum 'Ta1 Nb6 Ga1'
_symmetry_space_group_name_H-M 'P 1 2/m 1'
_symmetry_Int_Tables_number 10
_cell_length_a 5.251
_cell_length_b 5.253
_cell_length_c 5.253
_cell_angle_alpha 90.00
_cell_angle_beta 90.10
_cell_angle_gamma 90.00
loop_
_symmetry_equiv_pos_as_xyz
'x,y,z'
'-x,-y,-z'
'-x,y,-z'
'x,-y,z'
loop_
_atom_site_label
_atom_site_fract_x
_atom_site_fract_y
_atom_site_fract_z
Ta1 0.000 0.000 0.000
Nb1 0.000 0.248 0.500
Nb2 0.247 0.500 0.000
Nb3 0.499 0.000 0.752
Ga1 0.500 0.500 0.500
# magnetization: 0.0 μB/f.u.



Version b
# TaNb6Ga, relaxed, DFT PBE
data_TaNb6Ga
_chemical_formula_sum 'Ta3 Nb18 Ga3'
_symmetry_space_group_name_H-M 'R -3 m'
_symmetry_Int_Tables_number 166
_symmetry_space_group_name_Hall '-R 3 2"'
_cell_length_a 4.6611
_cell_length_b 4.6611
_cell_length_c 22.9146
_cell_angle_alpha 90.00
_cell_angle_beta 90.00
_cell_angle_gamma 120.00
loop_
_atom_site_label
_atom_site_fract_x
_atom_site_fract_y
_atom_site_fract_z
Ta1 0.0000 0.0000 0.0000
Nb1 0.0000 0.0000 0.1236
Nb2 0.0000 0.0000 0.2473
Nb3 0.0000 0.0000 0.3754
Ga1 0.0000 0.0000 0.5000
# magnetization: 0.0 μB/f.u.



Q: What are the energies relative to the best structure? A: version a 0.000; version b 0.055, in eV/atom.